Material: Ca2CdOs
Method: DFT, GGA-PBE
State: optimized geometry

abc: 11.394 3.249 5.374
angles: 90.00 106.79 90.00
Space group Cm (No. 8)
Unique sites:
Ca1 0.000 0.000 0.000 [2 per cell]
Ca2 0.193 0.000 0.635 [2 per cell]
Cd1 0.424 0.000 0.438 [2 per cell]
Os1 0.235 0.500 0.145 [2 per cell]

Results
Its density of states at the Fermi level is 0.608 states/eV per atom. The total energy is -3.78 eV per atom. The density comes out at 6.676 Mg/m³. The value obtained for the formation energy is 0.259 eV per atom. The total magnetization comes out at 0.45 μB per formula unit.